DFT (GGA-PBE) results for a relaxed structure of Co2Si.

**Energy**: -6.37 eV/atom
**Density of states at the Fermi level**: 3.20 states/eV/f.u.

```
6
Lattice="0.000 3.269 3.269 3.269 0.000 3.269 3.269 3.269 0.000" Properties=species:S:1:pos:R:3 pbc="T T T"
Co 0.817 2.451 2.451
Co 2.451 0.817 2.451
Co 2.451 2.451 0.817
Co 0.817 0.817 0.817
Si 3.269 3.269 3.269
Si 4.903 4.903 4.903
```


DFT (GGA-PBE) results for a relaxed structure of Cd6Pd5Pt.

**Calculated formation energy**: -395 meV per atom
**Density of states at the Fermi level**: 3.52 states/eV/f.u.

```
12
Lattice="-2.442 2.068 -3.631 4.866 -0.592 -3.609 -0.351 -8.077 0.852" Properties=species:S:1:pos:R:3 pbc="T T T"
Pt 0.000 0.000 0.000
Pd 0.687 -1.623 -3.941
Pd -1.055 -4.683 -0.654
Pd 2.433 -0.296 -1.805
Pd 3.128 -1.917 -5.735
Pd 1.386 -4.977 -2.448
Cd 1.377 -4.102 -5.174
Cd -1.059 -3.806 -3.367
Cd -0.003 0.886 -2.719
Cd 2.427 0.590 -4.521
Cd 3.132 -2.795 -3.021
Cd 0.697 -2.499 -1.215
```


DFT (GGA-PBE) results for a relaxed structure of Co2MoAs.

**Calculated formation energy**: 182 meV per atom
**Density of states at the Fermi level**: 4.32 states/eV/f.u.

```
4
Lattice="8.153 -0.003 -0.002 7.689 2.712 -0.002 7.689 1.314 2.372" Properties=species:S:1:pos:R:3 pbc="T T T"
As 17.648 3.017 1.776
Co 0.115 0.020 0.012
Co 11.650 1.992 1.172
Mo 5.883 1.006 0.592
```


DFT (GGA-PBE) results for a relaxed structure of AgGeSe2.

**Energy**: -3.32 eV/atom
**Density of states at the Fermi level**: 1.90 states/eV/f.u.

```
4
Lattice="5.688 -5.765 7.254 7.990 -4.532 5.817 6.655 -3.057 8.036" Properties=species:S:1:pos:R:3 pbc="T T T"
Ge 0.000 0.000 0.000
Se 18.539 -12.176 19.243
Se 1.795 -1.179 1.863
Ag 10.167 -6.677 10.553
```